1.
# KAsF2

A relaxed structure of KAsF2 (PBE, the Alexandria database).

Crystal system ... tetragonal
Energy above the lowest structure with this stoichiometry ... 1.94 eV/f.u.
Calculated volume ... 151.6 Å³/cell

a = 6.708 Å, b = 6.708 Å, c = 5.818 Å
α = 54.79°, β = 54.79°, γ = 90.00°
Element x y z (fractional)
F 0.667 0.125 0.250
F 0.083 0.625 0.250
F 0.875 0.917 0.750
F 0.375 0.333 0.750
K 0.500 0.500 0.000
K 0.250 0.750 0.500
As 0.750 0.250 0.500
As 0.000 0.000 0.000

---

2.
# CeZr2PaC4

A relaxed structure of CeZr2PaC4 (PBE, the Alexandria database).

Crystal system ... monoclinic
Calculated volume ... 120.6 Å³/cell
Calculated formation energy ... -0.508 eV per atom

a = 3.474 Å, b = 6.108 Å, c = 6.016 Å
α = 70.90°, β = 90.00°, γ = 90.00°
Element x y z (fractional)
C 0.000 0.764 0.738
C 0.500 0.237 0.748
C 0.000 0.236 0.262
C 0.500 0.763 0.252
Pa 0.000 0.500 0.500
Zr 0.000 0.000 0.000
Zr 0.500 0.000 0.500
Ce 0.500 0.500 0.000

---

3.
# MnFeHIrPd

A relaxed structure of MnFeHIrPd (PBE, the Alexandria database).

Crystal system ... monoclinic
Energy above the lowest structure with this stoichiometry ... 0.36 eV/f.u.
Calculated volume ... 59.7 Å³/cell

a = 4.566 Å, b = 2.954 Å, c = 4.481 Å
α = 90.00°, β = 81.29°, γ = 90.00°
Element x y z (fractional)
Ir 0.611 0.500 0.313
H 0.213 0.000 0.883
Mn 0.112 0.000 0.275
Pd 0.048 0.500 0.756
Fe 0.581 0.000 0.821

---

4.
# Ca2Sm2Rh3

A relaxed structure of Ca2Sm2Rh3 (PBE, the Alexandria database).

Crystal system ... monoclinic
Calculated volume ... 166.9 Å³/cell
Calculated formation energy ... -0.546 eV per atom

a = 4.886 Å, b = 4.894 Å, c = 8.542 Å
α = 89.97°, β = 106.62°, γ = 120.05°
Element x y z (fractional)
Rh 0.515 0.258 0.772
Rh 0.000 0.000 0.000
Rh 0.485 0.742 0.228
Ca 0.255 0.127 0.382
Ca 0.745 0.873 0.618
Sm 0.245 0.622 0.868
Sm 0.755 0.378 0.132

---

5.
# KRb2PrCl6

A relaxed structure of KRb2PrCl6 (PBE, the Alexandria database).

Crystal system ... monoclinic
VASP energy ... -40.16 eV/f.u.
Calculated volume ... 716.2 Å³/cell

a = 7.823 Å, b = 8.212 Å, c = 11.151 Å
α = 90.00°, β = 88.96°, γ = 90.00°
Element x y z (fractional)
Cl 0.820 0.777 0.932
Cl 0.117 0.453 0.766
Cl 0.180 0.223 0.068
Cl 0.883 0.547 0.234
Cl 0.680 0.277 0.568
Cl 0.320 0.723 0.432
Cl 0.717 0.313 0.947
Cl 0.617 0.047 0.266
Cl 0.283 0.687 0.053
Cl 0.217 0.187 0.447
Cl 0.383 0.953 0.734
Cl 0.783 0.813 0.553
Rb 0.475 0.433 0.245
Rb 0.975 0.067 0.745
Rb 0.525 0.567 0.755
Rb 0.025 0.933 0.255
K 0.000 0.500 0.500
K 0.500 0.000 0.000
Pr 0.000 0.500 0.000
Pr 0.500 0.000 0.500

---

6.
# Ta3C

A relaxed structure of Ta3C (PBE, the Alexandria database).

Crystal system ... tetragonal
Energy above the lowest structure with this stoichiometry ... 3.57 eV/f.u.
Calculated volume ... 67.7 Å³/cell
Calculated formation energy ... 0.530 eV per atom

a = 4.424 Å, b = 4.424 Å, c = 3.459 Å
α = 90.00°, β = 90.00°, γ = 90.00°
Element x y z (fractional)
Ta 0.500 0.000 0.292
Ta 0.500 0.500 0.792
Ta 0.000 0.500 0.292
C 0.000 0.000 0.292

---

7.
# Tm3RuO7

A relaxed structure of Tm3RuO7 (PBE, the Alexandria database).

Crystal system ... orthorhombic
VASP energy ... -88.13 eV/f.u.
Calculated volume ... 281.0 Å³/cell

a = 6.371 Å, b = 6.371 Å, c = 7.310 Å
α = 90.00°, β = 90.00°, γ = 108.76°
Element x y z (fractional)
O 0.918 0.671 0.026
O 0.329 0.082 0.474
O 0.313 0.059 0.039
O 0.370 0.630 0.250
O 0.361 0.639 0.750
O 0.671 0.918 0.974
O 0.639 0.361 0.250
O 0.082 0.329 0.526
O 0.059 0.313 0.961
O 0.687 0.941 0.539
O 0.925 0.075 0.250
O 0.075 0.925 0.750
O 0.941 0.687 0.461
O 0.630 0.370 0.750
Tm 0.531 0.531 0.000
Tm 0.999 0.537 0.744
Tm 0.001 0.463 0.244
Tm 0.463 0.001 0.756
Tm 0.469 0.469 0.500
Tm 0.537 0.999 0.256
Ru 0.000 0.000 0.500
Ru 0.000 0.000 0.000

---

8.
# Ca2FeBi2

A relaxed structure of Ca2FeBi2 (PBE, the Alexandria database).

Crystal system ... tetragonal
Calculated volume ... 277.4 Å³/cell
Calculated formation energy ... -0.219 eV per atom

a = 7.555 Å, b = 7.555 Å, c = 4.860 Å
α = 90.00°, β = 90.00°, γ = 90.00°
Element x y z (fractional)
Bi 0.347 0.847 0.000
Bi 0.653 0.153 0.000
Bi 0.847 0.653 0.000
Bi 0.153 0.347 0.000
Ca 0.665 0.835 0.500
Ca 0.335 0.165 0.500
Ca 0.835 0.335 0.500
Ca 0.165 0.665 0.500
Fe 0.500 0.500 0.000
Fe 0.000 0.000 0.000

---

9.
# MnZnAg2

A relaxed structure of MnZnAg2 (PBE, the Alexandria database).

Crystal system ... tetragonal
Calculated volume ... 64.4 Å³/cell
Calculated formation energy ... 0.109 eV per atom

a = 2.862 Å, b = 2.862 Å, c = 7.861 Å
α = 90.00°, β = 90.00°, γ = 90.00°
Element x y z (fractional)
Zn 0.500 0.500 0.737
Ag 0.500 0.500 0.262
Ag 0.000 0.000 0.984
Mn 0.000 0.000 0.517

---

10.
# Ba2IrW

A relaxed structure of Ba2IrW (PBE, the Alexandria database).

Crystal system ... monoclinic
Energy above the lowest structure with this stoichiometry ... 4.52 eV/f.u.
Calculated volume ... 102.0 Å³/cell
Calculated formation energy ... 1.276 eV per atom

a = 6.007 Å, b = 6.007 Å, c = 3.261 Å
α = 89.92°, β = 89.92°, γ = 119.95°
Element x y z (fractional)
Ba 0.500 0.500 0.000
Ba 0.000 0.000 0.000
Ir 0.500 0.000 0.500
W 0.000 0.500 0.500

---

11.
# Ca2Ga2Pb

A relaxed structure of Ca2Ga2Pb (PBE, the Alexandria database).

Crystal system ... orthorhombic
Energy above the lowest structure with this stoichiometry ... 0.00 eV/f.u.
Calculated volume ... 127.7 Å³/cell
Calculated formation energy ... -0.461 eV per atom

a = 3.684 Å, b = 4.443 Å, c = 8.110 Å
α = 105.90°, β = 90.00°, γ = 90.00°
Element x y z (fractional)
Ga 0.000 0.793 0.587
Ga 0.000 0.207 0.413
Ca 0.500 0.379 0.759
Ca 0.500 0.621 0.241
Pb 0.000 0.000 0.000

---

12.
# MnGaBr4

A relaxed structure of MnGaBr4 (PBE, the Alexandria database).

Crystal system ... orthorhombic
Energy above the lowest structure with this stoichiometry ... 0.17 eV/f.u.
Calculated volume ... 348.1 Å³/cell

a = 6.920 Å, b = 6.920 Å, c = 7.826 Å
α = 89.99°, β = 89.99°, γ = 68.25°
Element x y z (fractional)
Br 0.236 0.236 0.750
Br 0.769 0.277 0.000
Br 0.764 0.764 0.750
Br 0.764 0.764 0.250
Br 0.231 0.723 0.000
Br 0.723 0.231 0.500
Br 0.277 0.769 0.500
Br 0.236 0.236 0.250
Mn 0.000 0.500 0.000
Mn 0.500 0.000 0.500
Ga 0.000 0.000 0.250
Ga 0.000 0.000 0.750

---

13.
# CaNb3B

A relaxed structure of CaNb3B (PBE, the Alexandria database).

Crystal system ... cubic
Energy above the lowest structure with this stoichiometry ... 0.00 eV/f.u.
Calculated volume ... 94.5 Å³/cell
Calculated formation energy ... 0.332 eV per atom

a = 4.555 Å, b = 4.555 Å, c = 4.555 Å
α = 90.00°, β = 90.00°, γ = 90.00°
Element x y z (fractional)
Nb 0.000 0.500 0.000
Nb 0.500 0.000 0.000
Nb 0.000 0.000 0.500
Ca 0.500 0.500 0.500
B 0.000 0.000 0.000

---

14.
# PrReP2

A relaxed structure of PrReP2 (PBE, the Alexandria database).

Crystal system ... trigonal
Energy above the lowest structure with this stoichiometry ... 0.00 eV/f.u.
Calculated volume ... 73.7 Å³/cell
Calculated formation energy ... -0.729 eV per atom

a = 4.136 Å, b = 4.136 Å, c = 5.518 Å
α = 67.99°, β = 67.99°, γ = 60.00°
Element x y z (fractional)
Re 0.500 0.500 0.500
P 0.788 0.788 0.635
P 0.212 0.212 0.365
Pr 0.000 0.000 0.000

---

15.
# LaPr4Tm3Se8

A relaxed structure of LaPr4Tm3Se8 (PBE, the Alexandria database).

Crystal system ... trigonal
VASP energy ... -94.02 eV/f.u.
Calculated volume ... 414.2 Å³/cell

a = 8.270 Å, b = 8.467 Å, c = 8.270 Å
α = 119.23°, β = 120.00°, γ = 90.00°
Element x y z (fractional)
Pr 0.500 0.000 0.500
Pr 0.500 0.000 0.000
Pr 0.000 0.000 0.500
Pr 0.000 0.000 0.000
La 0.000 0.500 0.000
Se 0.742 0.726 0.484
Se 0.267 0.267 0.017
Se 0.733 0.733 0.983
Se 0.750 0.267 0.017
Se 0.250 0.734 0.501
Se 0.258 0.274 0.516
Se 0.250 0.733 0.983
Se 0.750 0.266 0.499
Tm 0.500 0.500 0.000
Tm 0.000 0.500 0.500
Tm 0.500 0.500 0.500

---

16.
# NaCaPb

A relaxed structure of NaCaPb (PBE, the Alexandria database).

Crystal system ... hexagonal
Calculated volume ... 184.0 Å³/cell
Calculated formation energy ... -0.332 eV per atom

a = 5.649 Å, b = 5.649 Å, c = 6.658 Å
α = 90.00°, β = 90.00°, γ = 120.01°
Element x y z (fractional)
Ca 0.333 0.167 0.750
Ca 0.667 0.833 0.250
Na 0.000 0.500 0.000
Na 0.000 0.500 0.500
Pb 0.667 0.833 0.750
Pb 0.333 0.167 0.250

---

17.
# Dy3V5Se12

A relaxed structure of Dy3V5Se12 (PBE, the Alexandria database).

Crystal system ... cubic
VASP energy ... -120.94 eV/f.u.
Calculated volume ... 1937.7 Å³/cell

a = 13.603 Å, b = 13.603 Å, c = 13.603 Å
α = 109.47°, β = 109.47°, γ = 109.47°
Element x y z (fractional)
Dy 0.875 0.750 0.125
Dy 0.250 0.125 0.375
Dy 0.125 0.250 0.875
Dy 0.375 0.625 0.250
Dy 0.750 0.375 0.125
Dy 0.750 0.875 0.625
Dy 0.625 0.250 0.375
Dy 0.125 0.875 0.750
Dy 0.625 0.375 0.750
Dy 0.250 0.625 0.875
Dy 0.375 0.750 0.625
Dy 0.875 0.125 0.250
Se 0.533 0.211 0.120
Se 0.912 0.090 0.880
Se 0.088 0.910 0.120
Se 0.912 0.822 0.533
Se 0.910 0.822 0.789
Se 0.967 0.380 0.289
Se 0.120 0.410 0.088
Se 0.467 0.789 0.880
Se 0.590 0.711 0.678
Se 0.711 0.590 0.178
Se 0.711 0.120 0.033
Se 0.620 0.588 0.910
Se 0.289 0.410 0.822
Se 0.088 0.178 0.467
Se 0.588 0.620 0.410
Se 0.033 0.620 0.711
Se 0.178 0.090 0.711
Se 0.967 0.588 0.178
Se 0.090 0.178 0.211
Se 0.380 0.412 0.090
Se 0.120 0.711 0.533
Se 0.880 0.289 0.467
Se 0.590 0.880 0.412
Se 0.822 0.912 0.033
Se 0.412 0.033 0.322
Se 0.033 0.412 0.822
Se 0.789 0.322 0.910
Se 0.910 0.088 0.620
Se 0.322 0.533 0.412
Se 0.412 0.380 0.590
Se 0.678 0.211 0.590
Se 0.822 0.910 0.289
Se 0.090 0.912 0.380
Se 0.533 0.322 0.912
Se 0.410 0.120 0.588
Se 0.588 0.967 0.678
Se 0.322 0.789 0.410
Se 0.289 0.880 0.967
Se 0.678 0.467 0.588
Se 0.880 0.590 0.912
Se 0.410 0.289 0.322
Se 0.211 0.533 0.620
Se 0.467 0.678 0.088
Se 0.620 0.033 0.211
Se 0.178 0.088 0.967
Se 0.211 0.678 0.090
Se 0.380 0.967 0.789
Se 0.789 0.467 0.380
V 0.250 0.875 0.125
V 0.500 0.500 0.000
V 0.125 0.375 0.250
V 0.250 0.375 0.625
V 0.375 0.125 0.750
V 0.000 0.000 0.000
V 0.000 0.000 0.500
V 0.875 0.250 0.625
V 0.750 0.625 0.375
V 0.500 0.000 0.500
V 0.500 0.000 0.000
V 0.750 0.125 0.875
V 0.000 0.500 0.000
V 0.625 0.875 0.250
V 0.125 0.750 0.375
V 0.375 0.250 0.125
V 0.500 0.500 0.500
V 0.625 0.750 0.875
V 0.875 0.625 0.750
V 0.000 0.500 0.500

---

18.
# PmNd2SnN4

A relaxed structure of PmNd2SnN4 (PBE, the Alexandria database).

Crystal system ... orthorhombic
VASP energy ... -57.54 eV/f.u.
Calculated volume ... 273.6 Å³/cell

a = 3.631 Å, b = 6.303 Å, c = 12.485 Å
α = 90.00°, β = 90.00°, γ = 106.74°
Element x y z (fractional)
Nd 0.370 0.741 0.965
Nd 0.630 0.259 0.035
Nd 0.370 0.741 0.535
Nd 0.630 0.259 0.465
Pm 0.117 0.235 0.750
Pm 0.883 0.765 0.250
N 0.000 0.000 0.500
N 0.272 0.544 0.370
N 0.272 0.544 0.130
N 0.550 0.100 0.250
N 0.728 0.456 0.630
N 0.000 0.000 0.000
N 0.450 0.900 0.750
N 0.728 0.456 0.870
Sn 0.852 0.704 0.750
Sn 0.148 0.296 0.250

---

19.
# BeIn2Si

A relaxed structure of BeIn2Si (PBE, the Alexandria database).

Crystal system ... cubic
Energy above the lowest structure with this stoichiometry ... 1.68 eV/f.u.
Calculated volume ... 79.3 Å³/cell

a = 4.822 Å, b = 4.822 Å, c = 4.822 Å
α = 60.00°, β = 60.00°, γ = 60.00°
Element x y z (fractional)
Si 0.500 0.500 0.500
Be 0.000 0.000 0.000
In 0.250 0.250 0.250
In 0.750 0.750 0.750

---

20.
# MnFe3Bi

A relaxed structure of MnFe3Bi (PBE, the Alexandria database).

Crystal system ... cubic
Energy above the lowest structure with this stoichiometry ... 8.06 eV/f.u.
Calculated volume ... 101.3 Å³/cell
Calculated formation energy ... 2.612 eV per atom

a = 4.662 Å, b = 4.662 Å, c = 4.662 Å
α = 90.00°, β = 90.00°, γ = 90.00°
Element x y z (fractional)
Mn 0.500 0.500 0.500
Bi 0.000 0.000 0.000
Fe 0.000 0.500 0.000
Fe 0.000 0.000 0.500
Fe 0.500 0.000 0.000